Record 1
{
  "formula": "Rb4LaEr3Te8",
  "functional": "PBE",
  "state": "relaxed",
  "rho_g_cm3": 5.4,
  "final_energy_ev_per_fu": -69.917,
  "magnetic_moment_mub_per_cell": 0.000,
  "n_ef_per_ev_cell": 0.000,
  "formation_energy_uncorrected_mev_per_atom": -1394,
  "lattice_angstrom": [[4.5607, 2.6331, 8.5470], [-4.5607, 2.6331, 8.5470], [0.0000, -5.2662, 8.5470]],
  "species": ["Rb", "Rb", "Rb", "Rb", "La", "Er", "Er", "Er", "Te", "Te", "Te", "Te", "Te", "Te", "Te", "Te"],
  "frac_coords": [[0.0000, 0.0000, 0.0000], [0.0000, 0.5000, 0.5000], [0.5000, 0.0000, 0.5000], [0.5000, 0.5000, 0.0000], [0.5000, 0.5000, 0.5000], [0.0000, 0.0000, 0.5000], [0.0000, 0.5000, 0.0000], [0.5000, 0.0000, 0.0000], [0.2220, 0.7394, 0.7394], [0.2321, 0.2321, 0.2321], [0.2606, 0.2606, 0.7780], [0.2606, 0.7780, 0.2606], [0.7394, 0.2220, 0.7394], [0.7394, 0.7394, 0.2220], [0.7679, 0.7679, 0.7679], [0.7780, 0.2606, 0.2606]]
}

Record 2
{
  "formula": "AgIrSe",
  "functional": "PBE",
  "state": "relaxed",
  "rho_g_cm3": 10.7,
  "final_energy_ev_per_fu": -14.596,
  "polymorph_energy_mev_per_atom": 89.9,
  "magnetic_moment_mub_per_cell": 0.000,
  "n_ef_per_ev_cell": 2.000,
  "formation_energy_uncorrected_mev_per_atom": 200,
  "lattice_angstrom": [[6.4924, -1.5114, 0.0000], [6.4924, 1.5114, 0.0000], [-2.9063, 0.0000, 6.0060]],
  "species": ["Ag", "Ag", "Ir", "Ir", "Se", "Se"],
  "frac_coords": [[0.0000, 0.0000, 0.0000], [0.7439, 0.7439, 0.9801], [0.3006, 0.3006, 0.6798], [0.5135, 0.5135, 0.6375], [0.0974, 0.0974, 0.4572], [0.8410, 0.8410, 0.4333]]
}

Record 3
{
  "formula": "VAg2Cl",
  "functional": "PBE",
  "state": "relaxed",
  "rho_g_cm3": 6.2,
  "final_energy_ev_per_fu": -15.031,
  "polymorph_energy_mev_per_atom": 0.0,
  "magnetic_moment_mub_per_cell": 5.941,
  "n_ef_per_ev_cell": 11.061,
  "formation_energy_uncorrected_mev_per_atom": 409,
  "lattice_angstrom": [[-3.9421, 3.9421, 2.6245], [3.9421, -3.9421, 2.6245], [3.9421, 3.9421, -2.6245]],
  "species": ["V", "V", "Ag", "Ag", "Ag", "Ag", "Cl", "Cl"],
  "frac_coords": [[0.0000, 0.0000, 0.0000], [0.7500, 0.2500, 0.5000], [0.1293, 0.6250, 0.0043], [0.3750, 0.3793, 0.5043], [0.6207, 0.1250, 0.9957], [0.8750, 0.8707, 0.4957], [0.2500, 0.7500, 0.5000], [0.5000, 0.5000, 0.0000]]
}

Record 4
{
  "formula": "CuIrPt2",
  "functional": "PBE",
  "state": "relaxed",
  "rho_g_cm3": 18.4,
  "final_energy_ev_per_fu": -24.935,
  "polymorph_energy_mev_per_atom": 78.4,
  "magnetic_moment_mub_per_cell": 0.001,
  "n_ef_per_ev_cell": 4.921,
  "formation_energy_ev_per_atom": 0.03,
  "lattice_angstrom": [[-1.9466, 1.9466, 3.8433], [1.9466, -1.9466, 3.8433], [1.9466, 1.9466, -3.8433]],
  "species": ["Cu", "Ir", "Pt", "Pt"],
  "frac_coords": [[0.0000, 0.0000, 0.0000], [0.2500, 0.7500, 0.5000], [0.5000, 0.5000, 0.0000], [0.7500, 0.2500, 0.5000]]
}

Record 5
{
  "formula": "Te2AsI",
  "functional": "PBE",
  "state": "relaxed",
  "rho_g_cm3": 5.5,
  "final_energy_ev_per_fu": -12.403,
  "polymorph_energy_mev_per_atom": 0.0,
  "magnetic_moment_mub_per_cell": 0.000,
  "n_ef_per_ev_cell": 4.256,
  "formation_energy_uncorrected_mev_per_atom": 20,
  "lattice_angstrom": [[4.2722, 0.0000, 0.0000], [0.0000, 11.0636, 0.0000], [-0.4332, 0.0000, 5.8160]],
  "species": ["Te", "Te", "Te", "Te", "As", "As", "I", "I"],
  "frac_coords": [[0.0860, 0.0654, 0.1969], [0.0860, 0.4346, 0.1969], [0.9140, 0.5654, 0.8031], [0.9140, 0.9346, 0.8031], [0.3566, 0.7500, 0.8687], [0.6434, 0.2500, 0.1313], [0.4378, 0.7500, 0.3610], [0.5622, 0.2500, 0.6390]]
}

Record 6
{
  "formula": "CsTe6Au",
  "functional": "PBE",
  "state": "relaxed",
  "rho_g_cm3": 5.5,
  "final_energy_ev_per_fu": -23.760,
  "polymorph_energy_mev_per_atom": 70.9,
  "magnetic_moment_mub_per_cell": 0.000,
  "n_ef_per_ev_cell": 10.652,
  "formation_energy_uncorrected_mev_per_atom": -97,
  "lattice_angstrom": [[3.1835, 1.8380, 9.4753], [-3.1835, 1.8380, 9.4753], [0.0000, -3.6759, 9.4753]],
  "species": ["Cs", "Te", "Te", "Te", "Te", "Te", "Te", "Au"],
  "frac_coords": [[0.0000, 0.0000, 0.0000], [0.0829, 0.5951, 0.5951], [0.4049, 0.4049, 0.9171], [0.4049, 0.9171, 0.4049], [0.5951, 0.0829, 0.5951], [0.5951, 0.5951, 0.0829], [0.9171, 0.4049, 0.4049], [0.5000, 0.5000, 0.5000]]
}